Compound: CoSnP2O8
Source: the Alexandria database
Functional: PBE with a Hubbard U
Structure: relaxed

```
CoSnP2O8
1.0
4.970 0.000 0.000
0.000 5.996 0.000
-0.142 0.000 10.082
Co Sn P O
2 2 4 16
Cartesian
0.302 1.499 2.222
4.526 4.497 7.859
2.118 1.499 7.267
2.710 4.497 2.815
0.546 4.497 0.953
1.899 4.497 5.991
2.929 1.499 4.090
4.282 1.499 9.129
0.624 4.497 9.547
0.827 1.499 8.828
1.159 3.277 6.683
1.159 5.718 6.683
1.288 3.304 1.705
1.288 5.691 1.705
1.438 1.499 3.880
1.536 4.497 4.481
3.292 1.499 5.601
3.390 4.497 6.202
3.540 0.306 8.376
3.540 2.693 8.376
3.668 0.278 3.399
3.668 2.720 3.399
4.001 4.497 1.253
4.203 1.499 0.535
```

Output
**Total magnetization**: 6.00 μB/cell
**Relative energy among the computed polymorphs**: 0.0 kJ/mol of formula units